A geometry-optimized Cu4AgRh structure. Source: the Alexandria database, functional GGA-PBE.

Lattice parameters (Å, degrees): 4.8381 4.8381 4.8381 60.00 60.00 60.00
With the nearest neighbours (Å) after each atom.
Atoms (fractional coordinates):
Cu  0.1246  0.1246  0.1246  6 Cu 2.41-2.43
Cu  0.1246  0.1246  0.6261  6 Cu 2.41-2.43
Cu  0.1246  0.6261  0.1246  6 Cu 2.41-2.43
Cu  0.6261  0.1246  0.1246  6 Cu 2.41-2.43
Ag  0.5000  0.5000  0.5000  12 Cu 2.84, 4 Rh 2.96
Rh  0.7500  0.7500  0.7500  12 Cu 2.84, 4 Ag 2.96

Properties
Formation energy: 0.10 eV/atom
Magnetization: 0.000 Bohr magnetons per cell
V: 13.35 A^3/atom